1.
# Ti2RePtPb PBE optimized geometry
data_Ti2RePtPb
_cell_length_a 4.792
_cell_length_b 4.792
_cell_length_c 4.844
_cell_angle_alpha 90.00
_cell_angle_beta 90.00
_cell_angle_gamma 90.00
_symmetry_space_group_name_H-M 'P 4/m m m'
_symmetry_Int_Tables_number 123
_symmetry_space_group_name_Hall '-P 4 2'
loop_
_atom_site_label
_atom_site_type_symbol
_atom_site_fract_x
_atom_site_fract_y
_atom_site_fract_z
Ti1 Ti 0.000 0.500 0.000
Re1 Re 0.000 0.000 0.500
Pt1 Pt 0.000 0.000 0.000
Pb1 Pb 0.500 0.500 0.500
# Formation enthalpy at 0 K   0.72 eV per atom
# Total energy   -6.873 eV per atom

=====

2.
# Ac3YTc2N6 PBE optimized geometry
data_Ac3YTc2N6
_cell_length_a 6.0660
_cell_length_b 6.0660
_cell_length_c 6.9256
_cell_angle_alpha 90.00
_cell_angle_beta 90.00
_cell_angle_gamma 120.00
_symmetry_space_group_name_H-M 'P -3 m 1'
_symmetry_Int_Tables_number 164
_symmetry_space_group_name_Hall '-P 3 2"'
loop_
_atom_site_label
_atom_site_type_symbol
_atom_site_fract_x
_atom_site_fract_y
_atom_site_fract_z
Ac1 Ac 0.0000 0.0000 0.0000
Ac2 Ac 0.3333 0.6667 0.6818
Y1 Y 0.0000 0.0000 0.5000
Tc1 Tc 0.3333 0.6667 0.1907
N1 N 0.1707 0.3415 0.2904
# Total energy   -8.237 eV per atom
# Energy relative to the elements, uncorrected   -9.4 eV/f.u.

=====

3.
# CeHo2Hf PBE optimized geometry
data_CeHo2Hf
_cell_length_a 3.977
_cell_length_b 3.977
_cell_length_c 7.196
_cell_angle_alpha 90.00
_cell_angle_beta 90.00
_cell_angle_gamma 90.00
_symmetry_space_group_name_H-M 'P 4/m m m'
_symmetry_Int_Tables_number 123
_symmetry_space_group_name_Hall '-P 4 2'
loop_
_atom_site_label
_atom_site_type_symbol
_atom_site_fract_x
_atom_site_fract_y
_atom_site_fract_z
Ce1 Ce 0.000 0.000 0.000
Ho1 Ho 0.500 0.500 0.275
Hf1 Hf 0.000 0.000 0.500
# Formation enthalpy at 0 K   0.28 eV per atom
# Distance to the lowest polymorph of the same formula   0.140 eV/atom
# Total energy   -5.984 eV per atom

=====

4.
# TaFe2Mo2 PBE optimized geometry
data_TaFe2Mo2
_cell_length_a 7.068
_cell_length_b 7.068
_cell_length_c 2.848
_cell_angle_alpha 90.00
_cell_angle_beta 90.00
_cell_angle_gamma 90.00
_symmetry_space_group_name_H-M 'P 4/m b m'
_symmetry_Int_Tables_number 127
_symmetry_space_group_name_Hall '-P 4 2ab'
loop_
_atom_site_label
_atom_site_type_symbol
_atom_site_fract_x
_atom_site_fract_y
_atom_site_fract_z
Ta1 Ta 0.000 0.000 0.000
Fe1 Fe 0.129 0.371 0.000
Mo1 Mo 0.169 0.669 0.500
# Formation enthalpy at 0 K   0.13 eV per atom
# Total energy   -9.958 eV per atom

=====

5.
# ZrNiSb3 PBE optimized geometry
data_ZrNiSb3
_cell_length_a 4.963
_cell_length_b 4.963
_cell_length_c 4.963
_cell_angle_alpha 90.00
_cell_angle_beta 90.00
_cell_angle_gamma 90.00
_symmetry_space_group_name_H-M 'P m -3 m'
_symmetry_Int_Tables_number 221
_symmetry_space_group_name_Hall '-P 4 2 3'
loop_
_atom_site_label
_atom_site_type_symbol
_atom_site_fract_x
_atom_site_fract_y
_atom_site_fract_z
Zr1 Zr 0.000 0.000 0.000
Ni1 Ni 0.500 0.500 0.500
Sb1 Sb 0.000 0.500 0.500
# Distance to the lowest polymorph of the same formula   0.000 eV/atom
# Total energy   -5.046 eV per atom
# Energy relative to the elements, uncorrected   1.5 eV/f.u.

=====

6.
# Cu2HgSb PBE optimized geometry
data_Cu2HgSb
_cell_length_a 8.014
_cell_length_b 3.320
_cell_length_c 5.917
_cell_angle_alpha 90.00
_cell_angle_beta 103.09
_cell_angle_gamma 90.00
_symmetry_space_group_name_H-M 'C 1 2/m 1'
_symmetry_Int_Tables_number 12
loop_
_symmetry_equiv_pos_as_xyz
'x,y,z'
'-x,-y,-z'
'-x,y,-z'
'x,-y,z'
'x+1/2,y+1/2,z'
'-x+1/2,-y+1/2,-z'
'-x+1/2,y+1/2,-z'
'x+1/2,-y+1/2,z'
loop_
_atom_site_label
_atom_site_type_symbol
_atom_site_fract_x
_atom_site_fract_y
_atom_site_fract_z
Cu1 Cu 0.249 0.000 0.246
Hg1 Hg 0.000 0.000 0.500
Sb1 Sb 0.000 0.500 0.000
# Total energy   -2.931 eV per atom
# Energy relative to the elements, uncorrected   0.9 eV/f.u.

=====

7.
# LiHfPtW2 PBE optimized geometry
data_LiHfPtW2
_cell_length_a 4.281
_cell_length_b 4.281
_cell_length_c 4.345
_cell_angle_alpha 90.00
_cell_angle_beta 90.00
_cell_angle_gamma 90.00
_symmetry_space_group_name_H-M 'P 4/m m m'
_symmetry_Int_Tables_number 123
_symmetry_space_group_name_Hall '-P 4 2'
loop_
_atom_site_label
_atom_site_type_symbol
_atom_site_fract_x
_atom_site_fract_y
_atom_site_fract_z
Li1 Li 0.000 0.000 0.000
Hf1 Hf 0.500 0.500 0.500
Pt1 Pt 0.000 0.000 0.500
W1 W 0.000 0.500 0.000
# Formation enthalpy at 0 K   0.75 eV per atom
# Total energy   -8.014 eV per atom

=====

8.
# LiDyPuIr PBE optimized geometry
data_LiDyPuIr
_cell_length_a 6.947
_cell_length_b 6.947
_cell_length_c 6.947
_cell_angle_alpha 90.00
_cell_angle_beta 90.00
_cell_angle_gamma 90.00
_symmetry_space_group_name_H-M 'F -4 3 m'
_symmetry_Int_Tables_number 216
_symmetry_space_group_name_Hall 'F -4 2 3'
loop_
_atom_site_label
_atom_site_type_symbol
_atom_site_fract_x
_atom_site_fract_y
_atom_site_fract_z
Li1 Li 0.000 0.000 0.000
Dy1 Dy 0.250 0.250 0.750
Pu1 Pu 0.250 0.250 0.250
Ir1 Ir 0.000 0.000 0.500
# Formation enthalpy at 0 K   -0.36 eV per atom
# Total energy   -7.788 eV per atom

=====

9.
# Ce8In2Pb PBE optimized geometry
data_Ce8In2Pb
_cell_length_a 8.616
_cell_length_b 14.229
_cell_length_c 5.781
_cell_angle_alpha 90.00
_cell_angle_beta 112.67
_cell_angle_gamma 90.00
_symmetry_space_group_name_H-M 'C 1 2/m 1'
_symmetry_Int_Tables_number 12
loop_
_symmetry_equiv_pos_as_xyz
'x,y,z'
'-x,-y,-z'
'-x,y,-z'
'x,-y,z'
'x+1/2,y+1/2,z'
'-x+1/2,-y+1/2,-z'
'-x+1/2,y+1/2,-z'
'x+1/2,-y+1/2,z'
loop_
_atom_site_label
_atom_site_type_symbol
_atom_site_fract_x
_atom_site_fract_y
_atom_site_fract_z
Ce1 Ce 0.000 0.232 0.000
Ce2 Ce 0.091 0.500 0.851
Ce3 Ce 0.179 0.097 0.591
In1 In 0.000 0.311 0.500
Pb1 Pb 0.000 0.000 0.000
# Formation enthalpy at 0 K   -0.10 eV per atom
# Distance to the lowest polymorph of the same formula   0.010 eV/atom
# Total energy   -5.254 eV per atom

=====

10.
# Ba3Os PBE optimized geometry
data_Ba3Os
_cell_length_a 8.106
_cell_length_b 8.106
_cell_length_c 8.106
_cell_angle_alpha 90.00
_cell_angle_beta 90.00
_cell_angle_gamma 90.00
_symmetry_space_group_name_H-M 'F m -3 m'
_symmetry_Int_Tables_number 225
_symmetry_space_group_name_Hall '-F 4 2 3'
loop_
_atom_site_label
_atom_site_type_symbol
_atom_site_fract_x
_atom_site_fract_y
_atom_site_fract_z
Ba1 Ba 0.000 0.000 0.000
Ba2 Ba 0.250 0.250 0.250
Os1 Os 0.000 0.000 0.500
# Formation enthalpy at 0 K   0.78 eV per atom
# Total energy   -3.472 eV per atom

=====

11.
# LaHgTeC2 PBE optimized geometry
data_LaHgTeC2
_cell_length_a 4.525
_cell_length_b 4.525
_cell_length_c 5.637
_cell_angle_alpha 90.00
_cell_angle_beta 90.00
_cell_angle_gamma 90.00
_symmetry_space_group_name_H-M 'P 4/m m m'
_symmetry_Int_Tables_number 123
_symmetry_space_group_name_Hall '-P 4 2'
loop_
_atom_site_label
_atom_site_type_symbol
_atom_site_fract_x
_atom_site_fract_y
_atom_site_fract_z
La1 La 0.000 0.000 0.000
Hg1 Hg 0.500 0.500 0.500
Te1 Te 0.500 0.500 0.000
C1 C 0.000 0.500 0.500
# Total energy   -3.742 eV per atom
# Energy relative to the elements, uncorrected   8.1 eV/f.u.

=====

12.
# KPtBr PBE optimized geometry
data_KPtBr
_cell_length_a 3.832
_cell_length_b 6.245
_cell_length_c 8.097
_cell_angle_alpha 77.63
_cell_angle_beta 76.65
_cell_angle_gamma 72.15
_symmetry_space_group_name_H-M 'P -1'
_symmetry_Int_Tables_number 2
loop_
_symmetry_equiv_pos_as_xyz
'x,y,z'
'-x,-y,-z'
loop_
_atom_site_label
_atom_site_type_symbol
_atom_site_fract_x
_atom_site_fract_y
_atom_site_fract_z
K1 K 0.030 0.184 0.250
Pt1 Pt 0.259 0.582 0.398
Br1 Br 0.222 0.251 0.813
# Distance to the lowest polymorph of the same formula   0.004 eV/atom
# Total energy   -3.604 eV per atom
# Energy relative to the elements, uncorrected   -2.0 eV/f.u.

=====

What did the fifth record say?
# ZrNiSb3 PBE optimized geometry
data_ZrNiSb3
_cell_length_a 4.963
_cell_length_b 4.963
_cell_length_c 4.963
_cell_angle_alpha 90.00
_cell_angle_beta 90.00
_cell_angle_gamma 90.00
_symmetry_space_group_name_H-M 'P m -3 m'
_symmetry_Int_Tables_number 221
_symmetry_space_group_name_Hall '-P 4 2 3'
loop_
_atom_site_label
_atom_site_type_symbol
_atom_site_fract_x
_atom_site_fract_y
_atom_site_fract_z
Zr1 Zr 0.000 0.000 0.000
Ni1 Ni 0.500 0.500 0.500
Sb1 Sb 0.000 0.500 0.500
# Distance to the lowest polymorph of the same formula   0.000 eV/atom
# Total energy   -5.046 eV per atom
# Energy relative to the elements, uncorrected   1.5 eV/f.u.

=====

What did the first record say?
# Ti2RePtPb PBE optimized geometry
data_Ti2RePtPb
_cell_length_a 4.792
_cell_length_b 4.792
_cell_length_c 4.844
_cell_angle_alpha 90.00
_cell_angle_beta 90.00
_cell_angle_gamma 90.00
_symmetry_space_group_name_H-M 'P 4/m m m'
_symmetry_Int_Tables_number 123
_symmetry_space_group_name_Hall '-P 4 2'
loop_
_atom_site_label
_atom_site_type_symbol
_atom_site_fract_x
_atom_site_fract_y
_atom_site_fract_z
Ti1 Ti 0.000 0.500 0.000
Re1 Re 0.000 0.000 0.500
Pt1 Pt 0.000 0.000 0.000
Pb1 Pb 0.500 0.500 0.500
# Formation enthalpy at 0 K   0.72 eV per atom
# Total energy   -6.873 eV per atom